Arrangement i

# Nd3Tl2Cd3

A geometry-optimized Nd3Tl2Cd3 structure (PBE, Alexandria).

Calculated values
- SG: P-62m
- DOS(E_F): 0.84 states/eV/atom
- Total magnetization: 0.0 μB/f.u.

a = 4.5047 Å, b = 7.6838 Å, c = 7.6838 Å
α = 120.00°, β = 90.00°, γ = 90.00°
Atoms (fractional coordinates):
Nd: 0.5000 0.3932 0.3932
Nd: 0.5000 0.6068 0.0000
Nd: 0.5000 0.0000 0.6068
Tl: 0.0000 0.3333 0.6667
Tl: 0.0000 0.6667 0.3333
Cd: 0.0000 0.7740 0.7740
Cd: 0.0000 0.2260 0.0000
Cd: 0.0000 0.0000 0.2260



Arrangement ii

# Nd3Tl2Cd3

A geometry-optimized Nd3Tl2Cd3 structure (PBE, Alexandria).

Calculated values
- SG: C2/m
- DOS(E_F): 0.60 states/eV/atom
- Total magnetization: 0.0 μB/f.u.

a = 4.5945 Å, b = 5.1950 Å, c = 9.9906 Å
α = 105.20°, β = 103.29°, γ = 90.00°
Atoms (fractional coordinates):
Nd: 0.8649 0.3637 0.7297
Nd: 0.1351 0.6363 0.2703
Nd: 0.0000 0.0000 0.0000
Tl: 0.7594 0.7583 0.5187
Tl: 0.2406 0.2417 0.4813
Cd: 0.3756 0.8740 0.7513
Cd: 0.5000 0.5000 0.0000
Cd: 0.6244 0.1260 0.2487



Which one sits at the top of the stability order? arrangement i does.



Arrangement i

# Nd6TlCd2

A geometry-optimized Nd6TlCd2 structure (PBE, Alexandria).

Calculated values
- SG: Immm
- DOS(E_F): 1.37 states/eV/atom
- Total magnetization: 0.0 μB/f.u.

a = 9.0932 Å, b = 9.0932 Å, c = 9.0932 Å
α = 109.71°, β = 110.35°, γ = 108.36°
Atoms (fractional coordinates):
Nd: 0.5535 0.7342 0.8193
Nd: 0.4465 0.2658 0.1807
Nd: 0.0851 0.2658 0.8193
Nd: 0.9149 0.7342 0.1807
Nd: 0.7997 0.7473 0.5470
Nd: 0.2003 0.2527 0.4530
Nd: 0.2003 0.7473 0.9476
Nd: 0.7997 0.2527 0.0524
Nd: 0.7303 0.4076 0.6773
Nd: 0.2697 0.5924 0.3227
Nd: 0.2697 0.9470 0.6773
Nd: 0.7303 0.0530 0.3227
Tl: 0.0000 0.5000 0.5000
Tl: 0.0000 0.0000 0.0000
Cd: 0.5000 0.3650 0.8650
Cd: 0.5000 0.6350 0.1350
Cd: 0.6384 0.0000 0.6384
Cd: 0.3616 0.0000 0.3616



Arrangement ii

# Nd6TlCd2

A geometry-optimized Nd6TlCd2 structure (PBE, Alexandria).

Calculated values
- SG: Fmmm
- DOS(E_F): 1.35 states/eV/atom
- Total magnetization: 0.0 μB/f.u.

a = 5.3140 Å, b = 7.1668 Å, c = 8.4042 Å
α = 83.27°, β = 71.57°, γ = 68.24°
Atoms (fractional coordinates):
Nd: 0.9876 0.1902 0.8346
Nd: 0.3222 0.1902 0.1654
Nd: 0.6778 0.8098 0.8346
Nd: 0.3448 0.8104 0.5000
Nd: 0.6552 0.1896 0.5000
Nd: 0.0124 0.8098 0.1654
Tl: 0.0000 0.5000 0.5000
Cd: 0.3324 0.5000 0.8353
Cd: 0.6676 0.5000 0.1647



Which one sits at the top of the stability order? arrangement ii does.